(1)
DFT (PBE) results for a relaxed structure of FeBPAuC2.

a = 10.575 Å, b = 2.714 Å, c = 4.835 Å
α = 90.00°, β = 108.35°, γ = 90.00°
Space group Cm (No. 8)
Symmetry-distinct sites (fractional):
Fe: 0.000 0.000 0.000 [2 per cell]
B: 0.149 0.000 0.420 [2 per cell]
P: 0.456 0.000 0.615 [2 per cell]
Au: 0.256 0.000 0.943 [2 per cell]
C: 0.067 0.500 0.389 [2 per cell]
C: 0.290 0.000 0.390 [2 per cell]

Properties
crystal system = monoclinic
E above lowest polymorph = 1.01 eV per formula unit

---

(2)
DFT (PBE) results for a relaxed structure of LuCdNiRh.

a = 6.505 Å, b = 6.505 Å, c = 6.505 Å
α = 90.00°, β = 90.00°, γ = 90.00°
Space group F-43m (No. 216)
Symmetry-distinct sites (fractional):
Lu: 0.000 0.000 0.000 [4 per cell]
Cd: 0.000 0.000 0.500 [4 per cell]
Ni: 0.250 0.250 0.250 [4 per cell]
Rh: 0.250 0.250 0.750 [4 per cell]

Properties
crystal system = cubic

---

Calculated formation energy across the listed records, respectively: 2.877; -1.811 eV per formula unit.
Electronic total energy across the listed records, respectively: -0.2413; -0.1872 Ha/atom.